No. 1
# ThNpOs

ThNpOs after structural relaxation (GGA-PBE, OQMD via LeMat-Bulk).

Properties
calculated formation energy = 187 meV per atom
total energy = -10.28 eV per atom
magnetic moment = 1.509 μB per atom

Lattice parameters (Å, degrees): 4.7598 4.7598 4.7598 60.00 60.00 60.00
Positions (direct):
1 Np 0.2500 0.2500 0.2500
2 Th 0.7500 0.7500 0.7500
3 Os 0.0000 0.0000 0.0000

---

No. 2
# GaTcPO

GaTcPO after structural relaxation (GGA-PBE, OQMD via LeMat-Bulk).

Properties
total energy = -6.55 eV per atom
magnetic moment = 0.068 μB per atom

Lattice parameters (Å, degrees): 3.1154 6.1675 5.7291 90.00 90.00 90.00
Last column: magnetic moment on the atom in μB.
Positions (direct):
1 P 0.0000 0.7023 0.3580  0.00
2 P 0.0000 0.2977 0.8580  0.00
3 Tc 0.5000 0.5119 0.5856  0.24
4 Tc 0.5000 0.4881 0.0856  0.26
5 Ga 0.0000 0.0860 0.4669  0.00
6 O 0.5000 0.7614 0.8435  0.01
7 O 0.5000 0.2386 0.3435  0.01
8 Ga 0.0000 0.9140 0.9669  0.00

---

No. 3
# LiScNiTe3

LiScNiTe3 after structural relaxation (GGA-PBE, OQMD via LeMat-Bulk).

Properties
total energy = -4.63 eV per atom
magnetic moment = 0.001 μB per atom

Lattice parameters (Å, degrees): 7.6306 7.6306 10.0594 90.00 90.00 29.78
Positions (direct):
1 Ni 0.5117 0.5117 0.7500
2 Te 0.6363 0.6363 0.5792
3 Te 0.0998 0.0998 0.2500
4 Te 0.3637 0.3637 0.0792
5 Sc 0.0000 0.0000 0.0000
6 Te 0.9002 0.9002 0.7500
7 Sc 0.0000 0.0000 0.5000
8 Li 0.7679 0.7679 0.2500
9 Te 0.3637 0.3637 0.4208
10 Te 0.6363 0.6363 0.9208
11 Ni 0.4883 0.4883 0.2500
12 Li 0.2321 0.2321 0.7500

---

No. 4
# PaSiBi

PaSiBi after structural relaxation (GGA-PBE, OQMD via LeMat-Bulk).

Properties
total energy = -6.00 eV per atom
magnetic moment = 0.120 μB per atom

Lattice parameters (Å, degrees): 5.0041 5.0041 5.0041 60.00 60.00 60.00
Positions (direct):
1 Si 0.7500 0.7500 0.7500
2 Pa 0.0000 0.0000 0.0000
3 Bi 0.2500 0.2500 0.2500

---

No. 5
# TbAgPO

TbAgPO after structural relaxation (GGA-PBE, OQMD via LeMat-Bulk).

Properties
total energy = -5.70 eV per atom
magnetic moment = 0.001 μB per atom

Lattice parameters (Å, degrees): 3.7363 7.6188 5.8304 90.00 90.00 90.00
Positions (direct):
1 O 0.0000 0.1562 0.9402
2 P 0.5000 0.3413 0.4376
3 Tb 0.5000 0.2894 0.9373
4 Tb 0.5000 0.7106 0.4373
5 Ag 0.0000 0.8616 0.9389
6 O 0.0000 0.8438 0.4402
7 Ag 0.0000 0.1384 0.4389
8 P 0.5000 0.6587 0.9376

---

No. 6
# Zr3Cu2Bi

Zr3Cu2Bi after structural relaxation (GGA-PBE, OQMD via LeMat-Bulk).

Properties
total energy = -5.95 eV per atom
magnetic moment = 0.003 μB per atom

Lattice parameters (Å, degrees): 6.0611 6.0611 4.1774 90.00 90.00 120.00
Positions (direct):
1 Zr 0.5000 0.0000 0.0000
2 Zr 0.5000 0.5000 0.0000
3 Bi 0.0000 0.0000 0.5000
4 Zr 0.0000 0.5000 0.0000
5 Cu 0.6667 0.3333 0.5000
6 Cu 0.3333 0.6667 0.5000

---

No. 7
# LiZrReW

LiZrReW after structural relaxation (GGA-PBE, OQMD via LeMat-Bulk).

Properties
total energy = -8.85 eV per atom
magnetic moment = 0.000 μB per atom

Lattice parameters (Å, degrees): 4.5138 4.5138 4.5138 60.00 60.00 60.00
Positions (direct):
1 W 0.5000 0.5000 0.5000
2 Re 0.2500 0.2500 0.2500
3 Zr 0.0000 0.0000 0.0000
4 Li 0.7500 0.7500 0.7500

---

No. 8
# GdAgTe3Pb

GdAgTe3Pb after structural relaxation (GGA-PBE, OQMD via LeMat-Bulk).

Properties
total energy = -4.15 eV per atom
magnetic moment = 0.000 μB per atom

Lattice parameters (Å, degrees): 10.1247 10.1247 9.0170 101.86 101.86 24.82
Positions (direct):
1 Pb 0.1272 0.1272 0.5719
2 Ag 0.4584 0.4584 0.7870
3 Te 0.3149 0.3149 0.6603
4 Gd 0.1617 0.1617 0.0880
5 Te 0.6851 0.6851 0.3397
6 Te 0.3246 0.3246 0.1493
7 Pb 0.8728 0.8728 0.4281
8 Te 0.6754 0.6754 0.8507
9 Te 0.0000 0.0000 0.0000
10 Ag 0.5416 0.5416 0.2130
11 Te 0.5000 0.5000 0.5000
12 Gd 0.8383 0.8383 0.9120

---

No. 9
# Ir2OsW2

Ir2OsW2 after structural relaxation (GGA-PBE, OQMD via LeMat-Bulk).

Properties
calculated formation energy = 695 meV per atom
total energy = -10.28 eV per atom
magnetic moment = 0.056 μB per atom

Lattice parameters (Å, degrees): 6.6839 6.6839 6.6839 147.84 147.84 46.12
Positions (direct):
1 Os 0.0000 0.0000 0.0000
2 W 0.3990 0.3990 0.0000
3 W 0.6010 0.6010 0.0000
4 Ir 0.7500 0.2500 0.5000
5 Ir 0.2500 0.7500 0.5000

---

No. 10
# Sr2DyReO6

Sr2DyReO6 after structural relaxation (GGA-PBE, OQMD via LeMat-Bulk).

Properties
total energy = -7.59 eV per atom
magnetic moment = 0.200 μB per atom

Lattice parameters (Å, degrees): 5.8335 5.8335 5.8335 60.00 60.00 60.00
Last column: magnetic moment on the atom in μB.
Positions (direct):
1 Sr 0.7500 0.7500 0.7500  0.02
2 Re 0.5000 0.5000 0.5000  1.48
3 O 0.2639 0.2639 0.7361  0.02
4 O 0.7361 0.7361 0.2639  0.02
5 Dy 0.0000 0.0000 0.0000  0.08
6 O 0.7361 0.2639 0.2639  0.03
7 O 0.2639 0.7361 0.2639  0.04
8 O 0.2639 0.7361 0.7361  0.03
9 O 0.7361 0.2639 0.7361  0.04
10 Sr 0.2500 0.2500 0.2500  0.02

---

No. 11
# Li2ZnCd3Au2

Li2ZnCd3Au2 after structural relaxation (GGA-PBE, OQMD via LeMat-Bulk).

Properties
total energy = -2.12 eV per atom

Lattice parameters (Å, degrees): 4.6111 4.6111 6.5546 90.00 90.00 90.00
Positions (direct):
1 Cd 0.5000 0.5000 0.5000
2 Cd 0.0000 0.0000 0.0000
3 Zn 0.5000 0.5000 0.0000
4 Li 0.0000 0.5000 0.2363
5 Li 0.5000 0.0000 0.7637
6 Au 0.0000 0.5000 0.7660
7 Cd 0.0000 0.0000 0.5000
8 Au 0.5000 0.0000 0.2340

---

No. 12
# SmCdAu

SmCdAu after structural relaxation (GGA-PBE, OQMD via LeMat-Bulk).

Properties
calculated formation energy = -176 meV per atom
total energy = -3.13 eV per atom
magnetic moment = 0.005 μB per atom

Lattice parameters (Å, degrees): 4.9515 4.9515 4.9515 60.00 60.00 60.00
Positions (direct):
1 Au 0.2500 0.2500 0.2500
2 Sm 0.0000 0.0000 0.0000
3 Cd 0.7500 0.7500 0.7500